Entry 1:
Co2HgRh | PBE | relaxed

Computed properties:
The space group is No. 166. The value obtained for the density of states at the Fermi level is 0.90 states/eV/atom. The energy of formation comes out at 366 meV/atom. The calculation puts the final energy at -5.100 eV per atom. The total magnetic moment is 1.13 μB/atom.

a b c (Å): 8.884 8.884 8.884
angles (deg): 18.06 18.06 18.06
Element x y z (fractional)
Co 0.244 0.244 0.244
Co 0.756 0.756 0.756
Hg 0.000 0.000 0.000
Rh 0.500 0.500 0.500

Entry 2:
Al2In2S7 | PBE | relaxed

Computed properties:
The space group is No. 12. The calculation puts the final energy at -4.354 eV per atom. The total magnetic moment is 0.00 μB/atom.

a b c (Å): 6.797 6.797 6.447
angles (deg): 100.70 100.70 112.63
Element x y z (fractional)
Al 0.245 0.245 0.363
Al 0.755 0.755 0.637
In 0.311 0.689 0.000
In 0.689 0.311 0.000
S 0.000 0.000 0.500
S 0.099 0.456 0.237
S 0.329 0.329 0.741
S 0.456 0.099 0.237
S 0.544 0.901 0.763
S 0.671 0.671 0.259
S 0.901 0.544 0.763

Entry 3:
SrNpO3 | PBE | relaxed

Computed properties:
The space group is No. 63. The value obtained for the density of states at the Fermi level is 1.37 states/eV/atom. The calculation puts the final energy at -8.873 eV per atom. The total magnetic moment is 0.60 μB/atom.

a b c (Å): 6.091 6.091 8.649
angles (deg): 90.00 90.00 90.30
Element x y z (fractional)
Sr 0.006 0.994 0.750
Sr 0.483 0.517 0.750
Sr 0.517 0.483 0.250
Sr 0.994 0.006 0.250
Np 0.000 0.500 0.000
Np 0.000 0.500 0.500
Np 0.500 0.000 0.000
Np 0.500 0.000 0.500
O 0.066 0.554 0.750
O 0.188 0.188 0.000
O 0.188 0.188 0.500
O 0.307 0.693 0.050
O 0.307 0.693 0.450
O 0.446 0.934 0.750
O 0.554 0.066 0.250
O 0.693 0.307 0.550
O 0.693 0.307 0.950
O 0.812 0.812 0.000
O 0.812 0.812 0.500
O 0.934 0.446 0.250

Entry 4:
TbNd6Sm3Ho2 | PBE | relaxed

Computed properties:
The space group is No. 12. The value obtained for the density of states at the Fermi level is 1.26 states/eV/atom. The energy of formation comes out at 13 meV/atom. The calculation puts the final energy at -4.700 eV per atom. The total magnetic moment is 0.00 μB/atom.

a b c (Å): 6.305 6.305 11.971
angles (deg): 95.02 95.02 120.00
Element x y z (fractional)
Tb 0.000 0.000 0.000
Nd 0.083 0.416 0.247
Nd 0.251 0.251 0.753
Nd 0.416 0.083 0.247
Nd 0.584 0.917 0.753
Nd 0.749 0.749 0.247
Nd 0.917 0.584 0.753
Sm 0.167 0.833 0.500
Sm 0.500 0.500 0.500
Sm 0.833 0.167 0.500
Ho 0.333 0.667 0.000
Ho 0.667 0.333 0.000